Record 1
First-principles (PBE) data for crystalline SrErGaSn at its relaxed geometry, as listed in the Alexandria database.

Cell lengths 7.615, 7.615, 7.615 Å; angles 90.00, 90.00, 90.00 degrees
Space group F-43m (No. 216)
Unique sites:
Sr (0.000, 0.000, 0.000)
Er (0.000, 0.000, 0.500)
Ga (0.250, 0.250, 0.250)
Sn (0.250, 0.250, 0.750)

D(E_F) = 2.3 states/eV/f.u.
density = 6.7 g/cm³
DFT formation energy = -434 meV/atom

---

Record 2
First-principles (PBE) data for crystalline EuPb3 at its relaxed geometry, as listed in the Alexandria database.

Cell lengths 4.951, 4.951, 4.951 Å; angles 90.00, 90.00, 90.00 degrees
Space group Pm-3m (No. 221)
Unique sites:
Eu (0.000, 0.000, 0.000)
Pb (0.000, 0.500, 0.500)

D(E_F) = 6.4 states/eV/f.u.
density = 10.6 g/cm³
DFT formation energy = -387 meV/atom

---

> Among the records above, which one has the highest D(E_F)?

EuPb3